Entry 1:
## Rb5SiAs3 (GGA-PBEsol)

Data for a geometry-optimized Rb5SiAs3 structure.

Geometry as POSCAR:
```
Rb5SiAs3
1.0
-4.388 -2.209 2.708
8.163 -2.505 11.184
-3.499 13.896 5.666
Rb Si As
20 4 12
Cartesian
-1.869 4.173 3.280 Rb
2.145 5.010 16.278 Rb
2.912 0.141 7.739 Rb
-2.636 9.042 11.819 Rb
-4.002 7.709 8.519 Rb
4.278 1.473 11.038 Rb
-0.176 7.473 14.526 Rb
0.452 1.709 5.032 Rb
1.853 -2.696 9.518 Rb
-1.577 11.879 10.040 Rb
-3.684 4.337 6.283 Rb
3.960 4.846 13.275 Rb
3.303 -1.352 12.965 Rb
-3.027 10.535 6.593 Rb
-1.257 1.803 8.148 Rb
1.533 7.380 11.409 Rb
1.019 9.097 17.787 Rb
-0.743 0.085 1.770 Rb
-1.720 5.019 10.022 Rb
1.996 4.164 9.536 Rb
-0.987 6.804 6.856 Si
1.263 2.379 12.702 Si
1.879 10.379 14.416 Si
-1.603 -1.196 5.142 Si
-5.049 10.877 9.406 As
5.326 -1.695 10.152 As
0.330 4.472 12.897 As
-0.053 4.711 6.661 As
-0.344 -1.342 7.062 As
0.621 10.524 12.495 As
2.653 1.712 14.410 As
-2.377 7.471 5.148 As
-0.547 8.164 8.678 As
0.823 1.019 10.879 As
3.135 8.498 14.917 As
-2.859 0.685 4.641 As
```

Summary:
The uncorrected formation energy is -0.399 eV per atom. The electronic total energy comes out at -3.31 eV per atom.


Entry 2:
## RbSn2As2 (GGA-PBEsol)

Data for a geometry-optimized RbSn2As2 structure.

Geometry as POSCAR:
```
RbSn2As2
1.0
5.266 0.000 0.000
0.000 5.266 0.000
-2.633 -2.633 5.012
As Sn Rb
2 2 1
Cartesian
0.000 2.633 2.506 As
2.633 0.000 2.506 As
0.000 0.000 3.500 Sn
2.633 2.633 1.512 Sn
0.000 0.000 0.000 Rb
```

Summary:
The calculation puts the energy of formation from the pure elements at -0.19 eV per atom. The electronic total energy comes out at -4.14 eV per atom.


Entry 3:
## RbSn3As (GGA-PBEsol)

Data for a geometry-optimized RbSn3As structure.

Geometry as POSCAR:
```
RbSn3As
1.0
-5.434 -0.674 0.792
0.659 -5.491 -0.152
0.805 -0.055 5.474
As Sn Rb
1 3 1
Cartesian
0.000 0.000 0.000 As
0.329 -2.746 -0.076 Sn
0.402 -0.028 2.737 Sn
-2.717 -0.337 0.396 Sn
-1.986 -3.110 3.057 Rb
```

Summary:
The calculation puts the energy of formation from the pure elements at 0.27 eV per atom. The electronic total energy comes out at -3.51 eV per atom.


Entry 4:
## RbTa3As (GGA-PBEsol)

Data for a geometry-optimized RbTa3As structure.

Geometry as POSCAR:
```
RbTa3As
1.0
-2.835 3.975 0.285
-3.979 -2.803 -0.480
-0.227 -0.510 4.859
As Rb Ta
1 1 3
Cartesian
0.000 0.000 0.000 As
-3.521 0.331 2.332 Rb
-1.990 -1.402 -0.240 Ta
-0.113 -0.255 2.430 Ta
-1.418 1.988 0.143 Ta
```

Summary:
The calculation puts the energy of formation from the pure elements at 1.47 eV per atom. The electronic total energy comes out at -7.29 eV per atom.


Entry 5:
## Rb3TaAs (GGA-PBEsol)

Data for a geometry-optimized Rb3TaAs structure.

Geometry as POSCAR:
```
Rb3TaAs
1.0
6.478 0.000 0.000
0.000 6.478 0.000
0.000 0.000 6.478
As Rb Ta
1 3 1
Cartesian
0.000 0.000 0.000 As
0.000 3.239 0.000 Rb
0.000 0.000 3.239 Rb
3.239 0.000 0.000 Rb
3.239 3.239 3.239 Ta
```

Summary:
The calculation puts the energy of formation from the pure elements at 1.37 eV per atom. The electronic total energy comes out at -2.77 eV per atom.


Entry 6:
## Rb5TaTl2As4 (GGA-PBEsol)

Data for a geometry-optimized Rb5TaTl2As4 structure.

Geometry as POSCAR:
```
Rb5TaTl2As4
1.0
7.730 0.000 0.000
0.000 10.930 0.000
0.000 0.000 19.137
Rb Ta Tl As
20 4 8 16
Cartesian
0.838 2.732 9.182 Rb
2.383 10.618 11.053 Rb
4.067 0.574 14.325 Rb
0.202 10.356 14.380 Rb
7.528 0.574 4.756 Rb
0.202 6.039 14.380 Rb
6.892 8.197 9.954 Rb
1.482 5.777 1.485 Rb
3.663 10.356 4.812 Rb
2.383 5.777 11.053 Rb
5.347 5.153 8.084 Rb
4.703 8.197 0.386 Rb
5.347 0.312 8.084 Rb
3.663 6.039 4.812 Rb
3.027 2.732 18.750 Rb
6.248 5.153 17.652 Rb
1.482 10.618 1.485 Rb
4.067 4.891 14.325 Rb
6.248 0.312 17.652 Rb
7.528 4.891 4.756 Rb
4.461 2.732 3.121 Ta
3.268 8.197 16.015 Ta
0.596 8.197 6.447 Ta
7.133 2.732 12.690 Ta
2.418 2.732 6.007 Tl
4.437 2.732 10.668 Tl
0.572 8.197 18.037 Tl
3.293 8.197 8.468 Tl
5.311 8.197 13.129 Tl
1.446 2.732 15.576 Tl
7.158 2.732 1.100 Tl
6.283 8.197 3.561 Tl
6.222 0.724 11.532 As
6.483 2.732 15.110 As
5.112 2.732 5.542 As
5.373 0.724 1.964 As
1.874 2.732 12.710 As
5.373 4.741 1.964 As
1.508 10.206 7.604 As
5.856 8.197 6.426 As
1.508 6.188 7.604 As
1.247 8.197 4.026 As
2.357 10.206 17.173 As
1.991 2.732 3.142 As
2.618 8.197 13.595 As
5.739 8.197 15.995 As
6.222 4.741 11.532 As
2.357 6.188 17.173 As
```

Summary:
The calculation puts the energy of formation from the pure elements at -0.41 eV per atom. The electronic total energy comes out at -4.03 eV per atom.


Entry 7:
## RbTcAs3 (GGA-PBEsol)

Data for a geometry-optimized RbTcAs3 structure.

Geometry as POSCAR:
```
RbTcAs3
1.0
5.301 0.000 0.000
0.000 5.301 0.000
0.000 0.000 5.301
As Tc Rb
3 1 1
Cartesian
0.000 2.650 0.000 As
0.000 0.000 2.650 As
2.650 0.000 0.000 As
2.650 2.650 2.650 Tc
0.000 0.000 0.000 Rb
```

Summary:
The calculation puts the energy of formation from the pure elements at 2.50 eV per atom. The electronic total energy comes out at -3.02 eV per atom.


Entry 8:
## RbTc2As2 (GGA-PBEsol)

Data for a geometry-optimized RbTc2As2 structure.

Geometry as POSCAR:
```
RbTc2As2
1.0
3.808 0.000 0.000
0.000 3.808 0.000
-1.904 -1.904 7.580
As Tc Rb
2 2 1
Cartesian
0.000 0.000 5.413 As
1.904 1.904 2.167 As
0.000 1.904 3.790 Tc
1.904 0.000 3.790 Tc
0.000 0.000 0.000 Rb
```

Summary:
The calculation puts the energy of formation from the pure elements at -0.22 eV per atom. The electronic total energy comes out at -6.98 eV per atom.


Entry 9:
## RbTi2As2 (GGA-PBEsol)

Data for a geometry-optimized RbTi2As2 structure.

Geometry as POSCAR:
```
RbTi2As2
1.0
4.247 0.000 0.000
0.000 4.247 0.000
-2.123 -2.123 6.992
As Rb Ti
2 1 2
Cartesian
0.000 0.000 4.855 As
2.123 2.123 2.136 As
0.000 0.000 0.000 Rb
0.000 2.123 3.496 Ti
2.123 0.000 3.496 Ti
```

Summary:
The calculation puts the energy of formation from the pure elements at -0.65 eV per atom. The electronic total energy comes out at -6.23 eV per atom.


Entry 10:
## RbTl2As2 (GGA-PBEsol)

Data for a geometry-optimized RbTl2As2 structure.

Geometry as POSCAR:
```
RbTl2As2
1.0
-1.527 4.596 -1.201
-4.440 -1.830 -1.355
0.975 -0.606 6.808
Tl As Rb
2 2 1
Cartesian
-3.224 -0.526 2.088 Tl
-1.768 2.687 2.165 Tl
-1.594 0.617 4.388 As
-3.398 1.544 -0.135 As
0.000 0.000 0.000 Rb
```

Summary:
The calculation puts the energy of formation from the pure elements at -0.16 eV per atom. The electronic total energy comes out at -3.46 eV per atom.


Entry 11:
## RbY3As (GGA-PBEsol)

Data for a geometry-optimized RbY3As structure.

Geometry as POSCAR:
```
RbY3As
1.0
-3.715 -3.739 1.840
-0.010 -2.456 -5.013
4.167 -3.339 1.628
Y As Rb
3 1 1
Cartesian
-0.005 -1.228 -2.506 Y
2.083 -1.670 0.814 Y
-1.857 -1.869 0.920 Y
0.000 0.000 0.000 As
0.221 -4.767 -0.773 Rb
```

Summary:
The calculation puts the energy of formation from the pure elements at -0.06 eV per atom. The electronic total energy comes out at -5.38 eV per atom.


Entry 12:
## ReAs2 (GGA-PBEsol)

Data for a geometry-optimized ReAs2 structure.

Geometry as POSCAR:
```
ReAs2
1.0
3.113 0.000 0.000
-1.556 4.378 -0.002
0.000 -0.511 7.460
Re As
2 4
Cartesian
0.000 0.226 4.911 Re
1.556 1.976 6.868 Re
0.000 0.571 0.008 As
1.556 0.606 2.930 As
0.000 2.681 4.882 As
0.000 2.710 1.533 As
```

Summary:
The calculation puts the energy of formation from the pure elements at 0.12 eV per atom. The electronic total energy comes out at -7.73 eV per atom.


Entry 13:
## ReAs2 (GGA-PBEsol)

Data for a geometry-optimized ReAs2 structure.

Geometry as POSCAR:
```
ReAs2
1.0
3.039 -0.004 -0.056
-0.001 2.983 -0.391
-1.428 -2.251 6.087
Re As
1 2
Cartesian
0.000 0.000 0.000 Re
1.549 1.687 1.277 As
0.061 -0.958 4.364 As
```

Summary:
The calculation puts the energy of formation from the pure elements at 0.08 eV per atom. The electronic total energy comes out at -7.77 eV per atom.


Entry 14:
## ReAs2 (GGA-PBEsol)

Data for a geometry-optimized ReAs2 structure.

Geometry as POSCAR:
```
ReAs2
1.0
4.438 0.000 0.000
-2.219 3.843 0.000
0.000 0.000 5.608
Re As
2 4
Cartesian
0.000 2.562 4.206 Re
2.219 1.281 1.402 Re
0.000 0.000 0.000 As
0.000 0.000 2.804 As
2.219 1.281 4.206 As
0.000 2.562 1.402 As
```

Summary:
The calculation puts the energy of formation from the pure elements at 0.69 eV per atom. The electronic total energy comes out at -7.16 eV per atom.


Entry 15:
## ReAs2 (GGA-PBEsol)

Data for a geometry-optimized ReAs2 structure.

Geometry as POSCAR:
```
ReAs2
1.0
3.101 0.000 0.000
0.000 6.176 -0.043
-1.551 -2.908 5.542
Re As
2 4
Cartesian
0.000 2.790 2.836 Re
1.551 0.478 2.663 Re
1.551 2.037 4.635 As
1.551 4.345 1.532 As
0.000 -1.077 3.967 As
0.000 1.231 0.864 As
```

Summary:
The calculation puts the energy of formation from the pure elements at -0.03 eV per atom. The electronic total energy comes out at -7.88 eV per atom.


Entry 16:
## Re4As3 (GGA-PBEsol)

Data for a geometry-optimized Re4As3 structure.

Geometry as POSCAR:
```
Re4As3
1.0
-1.401 -4.140 2.298
2.704 -0.259 -4.124
4.284 0.105 2.803
As Re
3 4
Cartesian
1.352 -0.129 -2.062 As
-0.701 -2.070 1.149 As
0.651 -2.200 -0.913 As
3.111 0.077 2.036 Re
1.173 0.029 0.767 Re
3.478 -1.500 -0.582 Re
2.109 -2.794 1.559 Re
```

Summary:
The calculation puts the energy of formation from the pure elements at 1.13 eV per atom. The electronic total energy comes out at -8.67 eV per atom.


Entry 17:
## Re3As7 (GGA-PBEsol)

Data for a geometry-optimized Re3As7 structure.

Geometry as POSCAR:
```
Re3As7
1.0
-2.190 0.543 -7.237
4.669 -5.920 0.790
-6.085 -0.974 4.415
As Re
14 6
Cartesian
-0.829 -2.796 -3.929 As
-2.777 -3.555 1.897 As
-0.088 -4.791 0.991 As
-3.518 -1.560 -3.023 As
0.886 -4.412 -1.922 As
-4.491 -1.939 -0.110 As
-1.462 0.363 -4.834 As
-1.198 -2.109 -0.675 As
3.118 -3.954 0.528 As
-4.064 -0.651 2.949 As
-2.408 -4.242 -1.357 As
-0.727 0.180 -2.404 As
1.551 -1.966 0.262 As
-2.021 -0.324 1.466 As
-5.458 -0.284 -1.862 Re
-2.816 -0.147 -0.961 Re
1.635 -3.547 -4.253 Re
0.844 -1.830 -2.194 Re
-0.482 -2.346 1.772 Re
-0.934 -4.548 3.433 Re
```

Summary:
The calculation puts the energy of formation from the pure elements at -0.13 eV per atom. The electronic total energy comes out at -7.70 eV per atom.


Entry 18:
## Re2AsRh (GGA-PBEsol)

Data for a geometry-optimized Re2AsRh structure.

Geometry as POSCAR:
```
Re2AsRh
1.0
2.809 0.000 0.000
1.405 2.433 0.000
1.405 0.811 8.361
Re As Rh
2 1 1
Cartesian
1.405 0.811 2.028 Re
4.214 2.433 6.333 Re
0.000 0.000 0.000 As
2.809 1.622 4.181 Rh
```

Summary:
The calculation puts the energy of formation from the pure elements at 0.19 eV per atom. The electronic total energy comes out at -9.78 eV per atom.


Entry 19:
## ReAsRh2 (GGA-PBEsol)

Data for a geometry-optimized ReAsRh2 structure.

Geometry as POSCAR:
```
ReAsRh2
1.0
3.794 0.000 0.000
0.000 3.794 0.000
0.000 0.000 3.903
Re As Rh
1 1 2
Cartesian
0.000 0.000 1.951 Re
1.897 1.897 1.951 As
0.000 1.897 0.000 Rh
1.897 0.000 0.000 Rh
```

Summary:
The calculation puts the energy of formation from the pure elements at 0.18 eV per atom. The electronic total energy comes out at -8.50 eV per atom.


Entry 20:
## ReAsRh2 (GGA-PBEsol)

Data for a geometry-optimized ReAsRh2 structure.

Geometry as POSCAR:
```
ReAsRh2
1.0
2.952 0.000 0.000
0.000 4.362 0.000
0.000 0.000 4.371
Re As Rh
1 1 2
Cartesian
0.000 2.181 2.186 Re
1.476 2.181 0.000 As
0.000 0.000 0.000 Rh
1.476 0.000 2.186 Rh
```

Summary:
The calculation puts the energy of formation from the pure elements at 0.14 eV per atom. The electronic total energy comes out at -8.53 eV per atom.